The following is a PBE calculation of SrLi2Br after structural relaxation, from Alexandria via LeMat-Bulk.

Raw total energy ... -0.08233 hartree per atom
Distance to the lowest polymorph of the same formula ... 173.4 meV per atom
Space-group type ... Cmmm (65)
Density ... 2.2 Mg/m³
Uncorrected formation energy ... -445 meV/atom
Total magnetic moment ... 0.00 μB/atom

Cell and atoms, written as POSCAR:
```
SrLi2Br
1.0
3.0084 -5.7414 0.0000
3.0084 5.7414 0.0000
0.0000 0.0000 4.0290
Sr Li Br
1 2 1
direct
0.0000 0.0000 0.0000 Sr
0.0000 0.5000 0.5000 Li
0.5000 0.0000 0.5000 Li
0.5000 0.5000 0.0000 Br
```